Entry 1:
DFT (PBE-GGA) results for a geometry-optimized CaSc2Te structure.

M_tot = 0.0 μB/f.u.
DOS at the Fermi energy = 4.3 states/eV/f.u.
ρ = 3.8 g cm⁻³
space-group type = P2/m (10)
formation energy without anion corrections = -346 meV per atom

Cell: 3.7865 4.8278 6.3679 Å, 90.00 106.80 90.00°
Element x y z (fractional)
Ca 0.0000 0.0000 0.0000
Sc 0.3637 0.5000 0.7189
Sc 0.6363 0.5000 0.2811
Te 0.0000 0.0000 0.5000

Entry 2:
DFT (PBE-GGA) results for a geometry-optimized Ca2ScTe structure.

M_tot = 1.1 μB/f.u.
DOS at the Fermi energy = 3.4 states/eV/f.u.
ρ = 3.3 g cm⁻³
space-group type = P4mm (99)
formation energy without anion corrections = -516 meV per atom

Cell: 3.8181 3.8181 8.7003 Å, 90.00 90.00 90.00°
Element x y z (fractional)
Ca 0.0000 0.0000 0.0000
Ca 0.5000 0.5000 0.3360
Sc 0.0000 0.0000 0.5972
Te 0.5000 0.5000 0.7544

Entry 3:
DFT (PBE-GGA) results for a geometry-optimized CaSc2Te structure.

M_tot = 2.2 μB/f.u.
DOS at the Fermi energy = 4.6 states/eV/f.u.
ρ = 4.1 g cm⁻³
space-group type = P4/mmm (123)
formation energy without anion corrections = -311 meV per atom

Cell: 4.4988 4.4988 5.1481 Å, 90.00 90.00 90.00°
Element x y z (fractional)
Ca 0.0000 0.0000 0.0000
Sc 0.0000 0.5000 0.5000
Sc 0.5000 0.0000 0.5000
Te 0.5000 0.5000 0.0000

Q: Which value of M_tot does entry 1 give?
A: 0.0 μB/f.u.

Q: Look up the ρ of the third one.
A: 4.1 g cm⁻³